The following is a DFT calculation (PBE-GGA) of a relaxed structure of CeNdGeSe.

Lattice parameters (Å, degrees): 4.258 4.258 7.374 73.22 73.22 60.00
Fractional coordinates of all 4 atoms:
Ce  0.191  0.191  0.426
Nd  0.696  0.696  0.911
Ge  0.446  0.446  0.661
Se  0.943  0.943  0.172

Calculated values
**DOS(E_F)**: 5.7 states/eV per cell
**ρ**: 6.6 g cm⁻³

The following is a DFT calculation (PBE-GGA) of a relaxed structure of CeNdSiGe.

Lattice parameters (Å, degrees): 4.463 3.988 5.924 90.00 112.13 90.00
Fractional coordinates of all 4 atoms:
Ce  0.138  0.000  0.276
Nd  0.859  0.500  0.718
Si  0.578  0.500  0.155
Ge  0.425  0.000  0.850

Calculated values
**DOS(E_F)**: 7.1 states/eV per cell
**ρ**: 6.5 g cm⁻³

no.,ΔE_f (raw) (eV per atom)
1,-1.347
2,-0.722